(a)
Compound: ZrSc2Re
Source: Alexandria
Functional: SCAN
Structure: single point on PBEsol structure

a b c (Å): 3.380 4.877 9.663
angles (deg): 90.00 90.00 90.00
Space group Imm2 (No. 44)
Unique sites:
Zr1 0.000 0.000 0.000
Sc1 0.000 0.000 0.425
Sc2 0.000 0.500 0.213
Re1 0.000 0.500 0.706

Values from the calculation:
As for the total moment: 0.003 Bohr magnetons per cell. The crystal system is orthorhombic.

(b)
Compound: ZrSc2Re
Source: Alexandria
Functional: SCAN
Structure: single point on PBEsol structure

a b c (Å): 3.187 3.187 7.783
angles (deg): 90.00 90.00 90.00
Space group P4/mmm (No. 123)
Unique sites:
Zr1 0.000 0.000 0.000
Sc1 0.500 0.500 0.298
Re1 0.000 0.000 0.500

Values from the calculation:
As for the total moment: 0.000 Bohr magnetons per cell. The crystal system is tetragonal.

Which one sits at the bottom of the stability order? (b) does.

(a)
Compound: ZrSc2Re
Source: Alexandria
Functional: SCAN
Structure: single point on PBEsol structure

a b c (Å): 3.306 3.306 7.406
angles (deg): 90.00 90.00 90.00
Space group P4mm (No. 99)
Unique sites:
Zr1 0.000 0.000 0.000
Sc1 0.000 0.000 0.410
Sc2 0.500 0.500 0.727
Re1 0.500 0.500 0.199

Values from the calculation:
As for the total moment: 1.226 Bohr magnetons per cell. The crystal system is tetragonal.

(b)
Compound: ZrSc2Re
Source: Alexandria
Functional: SCAN
Structure: single point on PBEsol structure

a b c (Å): 3.355 4.670 10.019
angles (deg): 90.00 90.00 90.00
Space group Immm (No. 71)
Unique sites:
Zr1 0.000 0.000 0.000
Sc1 0.000 0.500 0.213
Re1 0.000 0.000 0.500

Values from the calculation:
As for the total moment: 0.053 Bohr magnetons per cell. The crystal system is orthorhombic.

(c)
Compound: ZrSc2Re
Source: Alexandria
Functional: SCAN
Structure: single point on PBEsol structure

a b c (Å): 3.1642 3.1642 28.3549
angles (deg): 90.00 90.00 120.00
Space group R3m (No. 160, hexagonal axes)
Unique sites:
Zr1 0.0000 0.0000 0.0000
Sc1 0.0000 0.0000 0.5252
Sc2 0.0000 0.0000 0.7582
Re1 0.0000 0.0000 0.2625

Values from the calculation:
As for the total moment: 1.927 Bohr magnetons per cell. The crystal system is trigonal.

Which one sits at the bottom of the stability order? (c) does.

(a)
Compound: ZrSc2Re
Source: Alexandria
Functional: SCAN
Structure: single point on PBEsol structure

a b c (Å): 5.720 9.563 2.886
angles (deg): 90.00 107.82 90.00
Space group C2/m (No. 12)
Unique sites:
Zr1 0.000 0.000 0.000
Sc1 0.250 0.250 0.500
Re1 0.000 0.500 0.000

Values from the calculation:
As for the total moment: 0.000 Bohr magnetons per cell. The crystal system is monoclinic.

(b)
Compound: ZrSc2Re
Source: Alexandria
Functional: SCAN
Structure: single point on PBEsol structure

a b c (Å): 2.839 4.636 5.800
angles (deg): 90.00 90.00 90.00
Space group Pmm2 (No. 25)
Unique sites:
Zr1 0.000 0.000 0.000
Sc1 0.000 0.000 0.465
Sc2 0.500 0.500 0.730
Re1 0.500 0.500 0.231

Values from the calculation:
As for the total moment: 0.000 Bohr magnetons per cell. The crystal system is orthorhombic.

Which one sits at the bottom of the stability order? (b) does.